# 1
Compound: MnCo2Os
Source: Alexandria via LeMat-Bulk
Functional: GGA-PBE
Structure: relaxed

Cell: 8.3729 8.3729 8.3729 Å, 17.87 17.87 17.87°
Fractional positions:
Mn (0.0000, 0.0000, 0.0000)
Co (0.4945, 0.4945, 0.4945)
Co (0.7488, 0.7488, 0.7488)
Os (0.2506, 0.2506, 0.2506)

Computed properties:
- energy above the lowest structure with this stoichiometry (meV per atom) = 96
- M_tot (μB per formula unit) = 2.7
- total DFT energy (no corrections) (eV per atom) = -8.497
- DFT formation energy (eV per atom) = 0.1560

# 2
Compound: NaCI
Source: Alexandria via LeMat-Bulk
Functional: GGA-PBE
Structure: relaxed

Cell: 6.8326 6.8326 6.8326 Å, 149.01 149.01 44.39°
Fractional positions:
Na (0.0000, 0.0000, 0.0000)
C (0.4579, 0.4579, 0.0000)
I (0.2960, 0.2960, 0.0000)

Computed properties:
- M_tot (μB per formula unit) = 0.0
- total DFT energy (no corrections) (eV per atom) = -2.897
- raw formation energy (eV/atom) = 1.134